1.
DFT (PBE) results for crystalline LaErGaRh at its relaxed geometry.

Properties
The energy of formation from the pure elements comes out at -0.60 eV per atom. For the raw total energy, the calculation gives -22.3 eV per cell.

Cell lengths 5.0752, 5.0752, 5.0752 Å; angles 60.00, 60.00, 60.00 degrees
Sites, in units of the cell vectors:
Ga: 0.2500 0.2500 0.2500
Rh: 0.7500 0.7500 0.7500
La: 0.5000 0.5000 0.5000
Er: 0.0000 0.0000 0.0000

2.
DFT (PBE) results for crystalline LaErGa2Ru2 at its relaxed geometry.

Properties
The energy of formation from the pure elements comes out at -0.48 eV per atom. For the raw total energy, the calculation gives -37.0 eV per cell.

Cell lengths 4.3490, 4.3490, 7.6088 Å; angles 90.00, 90.00, 120.00 degrees
Sites, in units of the cell vectors:
Ga: 0.3333 0.6667 0.2803
Ga: 0.6667 0.3333 0.7197
Er: 0.0000 0.0000 0.5000
La: 0.0000 0.0000 0.0000
Ru: 0.6667 0.3333 0.2715
Ru: 0.3333 0.6667 0.7285

3.
DFT (PBE) results for crystalline LaErGaSi at its relaxed geometry.

Properties
Its formation energy without anion corrections is -0.688 eV/atom. For the raw total energy, the calculation gives -20.7 eV per cell.

Cell lengths 4.4024, 4.0272, 5.9717 Å; angles 90.00, 111.63, 90.00 degrees
Sites, in units of the cell vectors:
Si: 0.4242 0.0000 0.8483
La: 0.1444 0.0000 0.2888
Ga: 0.5674 0.5000 0.1349
Er: 0.8640 0.5000 0.7280

4.
DFT (PBE) results for crystalline LaSmErGa at its relaxed geometry.

Properties
The energy of formation from the pure elements comes out at -0.12 eV per atom. For the raw total energy, the calculation gives -17.7 eV per cell.

Cell lengths 5.4403, 5.4403, 5.4403 Å; angles 60.00, 60.00, 60.00 degrees
Sites, in units of the cell vectors:
La: 0.7500 0.7500 0.7500
Sm: 0.2500 0.2500 0.2500
Ga: 0.0000 0.0000 0.0000
Er: 0.5000 0.5000 0.5000

5.
DFT (PBE) results for crystalline LaErGaSn at its relaxed geometry.

Properties
The energy of formation from the pure elements comes out at -0.57 eV per atom. For the raw total energy, the calculation gives -18.8 eV per cell.

Cell lengths 5.3315, 5.3315, 5.3315 Å; angles 60.00, 60.00, 60.00 degrees
Sites, in units of the cell vectors:
La: 0.5000 0.5000 0.5000
Sn: 0.2500 0.2500 0.2500
Ga: 0.7500 0.7500 0.7500
Er: 0.0000 0.0000 0.0000

6.
DFT (PBE) results for crystalline LaErTlGa at its relaxed geometry.

Properties
The energy of formation from the pure elements comes out at -0.48 eV per atom. For the distance to the lowest polymorph of the same formula, the calculation gives 0 kJ/mol of formula units. For the raw total energy, the calculation gives -16.8 eV per cell.

Cell lengths 3.6937, 3.6937, 7.8277 Å; angles 90.00, 90.00, 90.00 degrees
Sites, in units of the cell vectors:
Er: 0.5000 0.5000 0.3395
La: 0.5000 0.5000 0.8021
Tl: 0.0000 0.0000 0.0921
Ga: 0.0000 0.0000 0.5510

7.
DFT (PBE) results for crystalline LaErTlGa at its relaxed geometry.

Properties
The energy of formation from the pure elements comes out at -0.44 eV per atom. For the distance to the lowest polymorph of the same formula, the calculation gives 16 kJ/mol of formula units. For the raw total energy, the calculation gives -16.6 eV per cell.

Cell lengths 5.3468, 5.3468, 5.3468 Å; angles 60.00, 60.00, 60.00 degrees
Sites, in units of the cell vectors:
Tl: 0.7500 0.7500 0.7500
Ga: 0.2500 0.2500 0.2500
Er: 0.0000 0.0000 0.0000
La: 0.5000 0.5000 0.5000

8.
DFT (PBE) results for crystalline LiErGa2 at its relaxed geometry.

Properties
The energy of formation from the pure elements comes out at -0.47 eV per atom. For the distance to the lowest polymorph of the same formula, the calculation gives 0 kJ/mol of formula units. For the raw total energy, the calculation gives -14.4 eV per cell.

Cell lengths 4.2845, 4.2778, 5.5026 Å; angles 112.91, 90.00, 120.05 degrees
Sites, in units of the cell vectors:
Li: 0.2500 0.5000 0.7500
Er: 0.7500 0.5000 0.2500
Ga: 0.9623 0.9246 0.8871
Ga: 0.5377 0.0754 0.6129

9.
DFT (PBE) results for crystalline LiErGa2 at its relaxed geometry.

Properties
The energy of formation from the pure elements comes out at -0.42 eV per atom. For the distance to the lowest polymorph of the same formula, the calculation gives 17 kJ/mol of formula units. For the raw total energy, the calculation gives -56.9 eV per cell.

Cell lengths 3.7612, 7.2629, 11.5370 Å; angles 90.00, 90.00, 90.00 degrees
Sites, in units of the cell vectors:
Li: 0.7500 0.3815 0.0450
Li: 0.7500 0.8815 0.4550
Li: 0.2500 0.6185 0.9550
Li: 0.2500 0.1185 0.5450
Ga: 0.7500 0.9677 0.6723
Ga: 0.7500 0.4677 0.8277
Ga: 0.2500 0.5323 0.1723
Ga: 0.7500 0.8160 0.8688
Ga: 0.2500 0.6840 0.3688
Ga: 0.2500 0.1840 0.1312
Ga: 0.2500 0.0323 0.3277
Ga: 0.7500 0.3160 0.6312
Er: 0.7500 0.3585 0.3595
Er: 0.2500 0.6415 0.6405
Er: 0.7500 0.8585 0.1405
Er: 0.2500 0.1415 0.8595

10.
DFT (PBE) results for crystalline Li2ErGa9 at its relaxed geometry.

Properties
The energy of formation from the pure elements comes out at -0.27 eV per atom. For the raw total energy, the calculation gives -38.9 eV per cell.

Cell lengths 4.1100, 4.1100, 12.5510 Å; angles 90.00, 90.00, 90.00 degrees
Sites, in units of the cell vectors:
Er: 0.0000 0.0000 0.0000
Ga: 0.5000 0.5000 0.0000
Ga: 0.5000 0.5000 0.3338
Ga: 0.0000 0.5000 0.5000
Ga: 0.5000 0.0000 0.8212
Ga: 0.0000 0.5000 0.8212
Ga: 0.5000 0.5000 0.6662
Ga: 0.5000 0.0000 0.5000
Ga: 0.0000 0.5000 0.1788
Ga: 0.5000 0.0000 0.1788
Li: 0.0000 0.0000 0.3347
Li: 0.0000 0.0000 0.6653

11.
DFT (PBE) results for crystalline LiErGa2 at its relaxed geometry.

Properties
The energy of formation from the pure elements comes out at -0.43 eV per atom. For the distance to the lowest polymorph of the same formula, the calculation gives 14 kJ/mol of formula units. For the raw total energy, the calculation gives -14.3 eV per cell.

Cell lengths 3.3422, 3.3422, 6.7300 Å; angles 90.00, 90.00, 90.00 degrees
Sites, in units of the cell vectors:
Ga: 0.0000 0.0000 0.7935
Ga: 0.0000 0.0000 0.2065
Er: 0.5000 0.5000 0.5000
Li: 0.5000 0.5000 0.0000

12.
DFT (PBE) results for crystalline LiEr4Ga3 at its relaxed geometry.

Properties
The energy of formation from the pure elements comes out at -0.47 eV per atom. For the raw total energy, the calculation gives -33.0 eV per cell.

Cell lengths 5.0159, 5.0159, 8.7525 Å; angles 73.35, 73.35, 60.00 degrees
Sites, in units of the cell vectors:
Er: 0.8732 0.8732 0.3805
Er: 0.1268 0.1268 0.6195
Er: 0.6215 0.6215 0.1354
Er: 0.3785 0.3785 0.8646
Ga: 0.7419 0.7419 0.7743
Ga: 0.5000 0.5000 0.5000
Ga: 0.2581 0.2581 0.2257
Li: 0.0000 0.0000 0.0000

13.
DFT (PBE) results for crystalline LiEr2Ga8 at its relaxed geometry.

Properties
The energy of formation from the pure elements comes out at -0.40 eV per atom. For the raw total energy, the calculation gives -39.7 eV per cell.

Cell lengths 4.2864, 4.2864, 11.1928 Å; angles 90.00, 90.00, 90.00 degrees
Sites, in units of the cell vectors:
Ga: 0.5000 0.0000 0.1255
Ga: 0.5000 0.0000 0.5000
Ga: 0.5000 0.5000 0.3062
Ga: 0.0000 0.5000 0.8745
Ga: 0.0000 0.5000 0.1255
Ga: 0.5000 0.0000 0.8745
Ga: 0.5000 0.5000 0.6938
Ga: 0.0000 0.5000 0.5000
Li: 0.0000 0.0000 0.0000
Er: 0.0000 0.0000 0.3119
Er: 0.0000 0.0000 0.6881

14.
DFT (PBE) results for crystalline Li3Er3Ga8 at its relaxed geometry.

Properties
The energy of formation from the pure elements comes out at -0.49 eV per atom. For the raw total energy, the calculation gives -50.5 eV per cell.

Cell lengths 4.2495, 8.2621, 8.2621 Å; angles 70.01, 75.10, 75.10 degrees
Sites, in units of the cell vectors:
Ga: 0.1535 0.4810 0.2119
Ga: 0.3611 0.9252 0.3526
Ga: 0.3611 0.3526 0.9252
Ga: 0.6389 0.6474 0.0748
Ga: 0.1535 0.2119 0.4810
Ga: 0.8465 0.5190 0.7881
Ga: 0.8465 0.7881 0.5190
Ga: 0.6389 0.0748 0.6474
Er: 0.7957 0.2043 0.2043
Er: 0.5000 0.5000 0.5000
Er: 0.2043 0.7957 0.7957
Li: 0.0000 0.8081 0.1919
Li: 0.0000 0.1919 0.8081
Li: 0.5000 0.0000 0.0000

15.
DFT (PBE) results for crystalline Li2ErGa at its relaxed geometry.

Properties
The energy of formation from the pure elements comes out at -0.13 eV per atom. For the distance to the lowest polymorph of the same formula, the calculation gives 52 kJ/mol of formula units. For the raw total energy, the calculation gives -11.9 eV per cell.

Cell lengths 4.8546, 4.1992, 4.1992 Å; angles 90.00, 90.00, 90.00 degrees
Sites, in units of the cell vectors:
Li: 0.0000 0.5000 0.0000
Li: 0.0000 0.0000 0.5000
Er: 0.5000 0.0000 0.0000
Ga: 0.5000 0.5000 0.5000

16.
DFT (PBE) results for crystalline LiErGa2 at its relaxed geometry.

Properties
The energy of formation from the pure elements comes out at -0.44 eV per atom. For the distance to the lowest polymorph of the same formula, the calculation gives 10 kJ/mol of formula units. For the raw total energy, the calculation gives -14.3 eV per cell.

Cell lengths 3.6048, 4.6947, 4.6947 Å; angles 90.00, 90.00, 90.00 degrees
Sites, in units of the cell vectors:
Ga: 0.0000 0.0000 0.5000
Ga: 0.0000 0.5000 0.0000
Er: 0.5000 0.5000 0.5000
Li: 0.5000 0.0000 0.0000

17.
DFT (PBE) results for crystalline LiEr3Ga at its relaxed geometry.

Properties
The energy of formation from the pure elements comes out at -0.14 eV per atom. For the raw total energy, the calculation gives -77.4 eV per cell.

Cell lengths 6.5120, 7.8165, 10.3311 Å; angles 74.21, 90.00, 90.00 degrees
Sites, in units of the cell vectors:
Er: 0.0257 0.2572 0.1504
Er: 0.8260 0.3917 0.4091
Er: 0.1740 0.6083 0.5909
Er: 0.4781 0.8117 0.7640
Er: 0.5219 0.1883 0.2360
Er: 0.9743 0.7428 0.8496
Er: 0.6740 0.3917 0.9091
Er: 0.0219 0.8117 0.2640
Er: 0.5257 0.7428 0.3496
Er: 0.4743 0.2572 0.6504
Er: 0.9781 0.1883 0.7360
Er: 0.3260 0.6083 0.0909
Ga: 0.7201 0.5892 0.6194
Ga: 0.2799 0.4108 0.3806
Ga: 0.7799 0.5892 0.1194
Ga: 0.2201 0.4108 0.8806
Li: 0.2875 0.0432 0.9810
Li: 0.2125 0.0432 0.4810
Li: 0.7125 0.9568 0.0190
Li: 0.7875 0.9568 0.5190

18.
DFT (PBE) results for crystalline LiErGa at its relaxed geometry.

Properties
The energy of formation from the pure elements comes out at -0.02 eV per atom. For the distance to the lowest polymorph of the same formula, the calculation gives 111 kJ/mol of formula units. For the raw total energy, the calculation gives -19.1 eV per cell.

Cell lengths 4.4950, 4.4950, 7.4175 Å; angles 90.00, 90.00, 90.00 degrees
Sites, in units of the cell vectors:
Er: 0.5000 0.5000 0.5000
Er: 0.0000 0.0000 0.5000
Ga: 0.0000 0.5000 0.2359
Ga: 0.5000 0.0000 0.7641
Li: 0.5000 0.0000 0.1335
Li: 0.0000 0.5000 0.8665

19.
DFT (PBE) results for crystalline LiEr6Ga5 at its relaxed geometry.

Properties
The energy of formation from the pure elements comes out at -0.52 eV per atom. For the raw total energy, the calculation gives -50.6 eV per cell.

Cell lengths 5.0263, 7.0241, 7.9940 Å; angles 90.00, 71.68, 90.00 degrees
Sites, in units of the cell vectors:
Ga: 0.3445 0.0000 0.3110
Ga: 0.0000 0.5000 0.0000
Ga: 0.6555 0.0000 0.6890
Ga: 0.3343 0.5000 0.3314
Ga: 0.6657 0.5000 0.6686
Er: 0.5000 0.2569 0.0000
Er: 0.1696 0.2497 0.6608
Er: 0.8304 0.7503 0.3392
Er: 0.8304 0.2497 0.3392
Er: 0.5000 0.7431 0.0000
Er: 0.1696 0.7503 0.6608
Li: 0.0000 0.0000 0.0000

20.
DFT (PBE) results for crystalline Li2ErGa at its relaxed geometry.

Properties
The energy of formation from the pure elements comes out at -0.25 eV per atom. For the distance to the lowest polymorph of the same formula, the calculation gives 6 kJ/mol of formula units. For the raw total energy, the calculation gives -12.4 eV per cell.

Cell lengths 4.6403, 4.6403, 4.6403 Å; angles 60.00, 60.00, 60.00 degrees
Sites, in units of the cell vectors:
Li: 0.2500 0.2500 0.2500
Li: 0.7500 0.7500 0.7500
Er: 0.0000 0.0000 0.0000
Ga: 0.5000 0.5000 0.5000

21.
DFT (PBE) results for crystalline LiEr2Ga12 at its relaxed geometry.

Properties
The energy of formation from the pure elements comes out at -0.28 eV per atom. For the raw total energy, the calculation gives -103.1 eV per cell.

Cell lengths 6.1417, 6.1417, 15.0100 Å; angles 90.00, 90.00, 90.00 degrees
Sites, in units of the cell vectors:
Ga: 0.5000 0.5000 0.3446
Ga: 0.0000 0.0000 0.8168
Ga: 0.5000 0.5000 0.8168
Ga: 0.5000 0.5000 0.1832
Ga: 0.8347 0.6653 0.4291
Ga: 0.1653 0.3347 0.4291
Ga: 0.2507 0.7507 0.9122
Ga: 0.2493 0.7493 0.0878
Ga: 0.0000 0.0000 0.1832
Ga: 0.0000 0.0000 0.6554
Ga: 0.7507 0.2507 0.0878
Ga: 0.2493 0.2507 0.9122
Ga: 0.3347 0.1653 0.5709
Ga: 0.7493 0.7507 0.0878
Ga: 0.7493 0.2493 0.9122
Ga: 0.0000 0.0000 0.3446
Ga: 0.6653 0.8347 0.5709
Ga: 0.8347 0.3347 0.5709
Ga: 0.2507 0.2493 0.0878
Ga: 0.7507 0.7493 0.9122
Ga: 0.5000 0.5000 0.6554
Ga: 0.6653 0.1653 0.4291
Ga: 0.1653 0.6653 0.5709
Ga: 0.3347 0.8347 0.4291
Er: 0.5000 0.0000 0.2430
Er: 0.5000 0.0000 0.7570
Er: 0.0000 0.5000 0.7570
Er: 0.0000 0.5000 0.2430
Li: 0.5000 0.0000 0.0000
Li: 0.0000 0.5000 0.0000

22.
DFT (PBE) results for crystalline Li3Er2Ga4 at its relaxed geometry.

Properties
The energy of formation from the pure elements comes out at -0.39 eV per atom. For the raw total energy, the calculation gives -60.9 eV per cell.

Cell lengths 5.6842, 7.4852, 8.4821 Å; angles 90.00, 109.58, 90.00 degrees
Sites, in units of the cell vectors:
Ga: 0.8376 0.0106 0.6751
Ga: 0.1812 0.7500 0.8623
Ga: 0.8188 0.2500 0.1377
Ga: 0.3376 0.4894 0.6751
Ga: 0.6624 0.5106 0.3249
Ga: 0.1624 0.9894 0.3249
Ga: 0.6812 0.7500 0.8623
Ga: 0.3188 0.2500 0.1377
Er: 0.3999 0.1010 0.7997
Er: 0.1001 0.6010 0.2003
Er: 0.6001 0.8990 0.2003
Er: 0.8999 0.3990 0.7997
Li: 0.5000 0.5000 0.0000
Li: 0.0000 0.0000 0.0000
Li: 0.0147 0.7500 0.5295
Li: 0.4853 0.2500 0.4705
Li: 0.9853 0.2500 0.4705
Li: 0.5147 0.7500 0.5295

23.
DFT (PBE) results for crystalline LiErGa2 at its relaxed geometry.

Properties
The energy of formation from the pure elements comes out at -0.46 eV per atom. For the distance to the lowest polymorph of the same formula, the calculation gives 5 kJ/mol of formula units. For the raw total energy, the calculation gives -14.4 eV per cell.

Cell lengths 4.7862, 4.7862, 4.7862 Å; angles 60.00, 60.00, 60.00 degrees
Sites, in units of the cell vectors:
Li: 0.5000 0.5000 0.5000
Ga: 0.7500 0.7500 0.7500
Ga: 0.2500 0.2500 0.2500
Er: 0.0000 0.0000 0.0000

24.
DFT (PBE) results for crystalline LiErGa6 at its relaxed geometry.

Properties
The energy of formation from the pure elements comes out at -0.33 eV per atom. For the raw total energy, the calculation gives -27.3 eV per cell.

Cell lengths 4.2018, 4.2018, 8.1686 Å; angles 90.00, 90.00, 90.00 degrees
Sites, in units of the cell vectors:
Ga: 0.5000 0.0000 0.2677
Ga: 0.0000 0.5000 0.7323
Ga: 0.5000 0.5000 0.0000
Ga: 0.5000 0.0000 0.7323
Ga: 0.5000 0.5000 0.5000
Ga: 0.0000 0.5000 0.2677
Er: 0.0000 0.0000 0.0000
Li: 0.0000 0.0000 0.5000